(1)
Ac2LaGe2 | PBE | optimized geometry

The structure in POSCAR format:
```
Ac2LaGe2
1.0
4.681 0.000 0.000
0.000 8.197 0.000
0.000 0.000 8.197
La Ac Ge
2 4 4
direct
0.500 0.500 0.000
0.500 0.000 0.500
0.000 0.674 0.326
0.000 0.826 0.826
0.000 0.174 0.174
0.000 0.326 0.674
0.500 0.882 0.118
0.500 0.618 0.618
0.500 0.382 0.382
0.500 0.118 0.882
```

Polymorph energy (0 for the lowest one) in kJ/mol of formula units: 0
ΔE_f in meV/atom: -668.3
Symmetry: P4/mbm

(2)
AcLa2Ge | PBE | optimized geometry

The structure in POSCAR format:
```
AcLa2Ge
1.0
-3.610 -2.839 -3.261
1.606 -4.807 -2.459
-2.124 -4.911 1.761
La Ac Ge
2 1 1
direct
0.750 0.750 0.750
0.250 0.250 0.250
0.000 0.000 0.000
0.500 0.500 0.500
```

Polymorph energy (0 for the lowest one) in kJ/mol of formula units: 143
ΔE_f in meV/atom: -82.3
Symmetry: Fm-3m

(3)
AcLaGe3 | PBE | optimized geometry

The structure in POSCAR format:
```
AcLaGe3
1.0
4.239 0.000 0.000
0.000 4.607 0.000
0.000 -2.304 13.668
Ge Ac La
6 2 2
direct
0.250 0.377 0.753
0.250 0.474 0.947
0.750 0.623 0.247
0.750 0.526 0.053
0.750 0.318 0.635
0.250 0.682 0.365
0.750 0.928 0.857
0.250 0.072 0.143
0.750 0.202 0.405
0.250 0.798 0.595
```

ΔE_f in meV/atom: -706.7
Symmetry: Cmcm